Sr2LaCd2 | Alexandria via LeMat-Bulk | GGA-PBEsol | relaxed; energy of formation = -0.90 eV/f.u.; ρ = 5.19 g/cm³; crystal system = tetragonal
1.0
5.298 0.000 0.000
0.000 8.070 0.000
0.000 0.000 8.070
Cd Sr La
4 4 2
Direct
0.000 0.376 0.876 Cd
0.000 0.876 0.624 Cd
0.000 0.124 0.376 Cd
0.000 0.624 0.124 Cd
0.500 0.173 0.673 Sr
0.500 0.673 0.827 Sr
0.500 0.827 0.327 Sr
0.500 0.327 0.173 Sr
0.000 0.500 0.500 La
0.000 0.000 0.000 La

BaSi2Tc | Alexandria via LeMat-Bulk | GGA-PBEsol | relaxed; formation energy (no corrections) = 247 meV per atom; ρ = 5.04 g/cm³; crystal system = orthorhombic
1.0
4.188 0.000 0.000
2.094 4.836 0.020
2.094 0.933 4.746
Si Ba Tc
2 1 1
Direct
0.841 0.159 0.159 Si
0.159 0.841 0.841 Si
0.000 0.500 0.500 Ba
0.500 0.000 0.000 Tc

As2SeBr | Alexandria via LeMat-Bulk | GGA-PBEsol | relaxed; formation energy (no corrections) = 333 meV per atom; ρ = 5.85 g/cm³; crystal system = orthorhombic
1.0
3.379 0.000 0.000
1.689 5.227 0.167
1.689 1.504 5.009
As Se Br
2 1 1
Direct
0.732 0.268 0.268 As
0.268 0.732 0.732 As
0.000 0.500 0.500 Se
0.500 0.000 0.000 Br